(1)
Crystalline Os3AuN at its relaxed geometry, computed with GGA-PBE.

relative energy among the computed polymorphs = 3336.7 meV/atom
calculated density = 11.0 g/cm³
crystal system = cubic
raw total energy = -24.28 eV per formula unit

Cell: 4.9021 4.9021 4.9021 Å, 90.00 90.00 90.00°
Last column: nearest neighbours and their distance in Å.
Element x y z (fractional)
Os (0.0000, 0.0000, 0.5000)  2 Au 2.45
Os (0.0000, 0.5000, 0.0000)  2 Au 2.45
Os (0.5000, 0.0000, 0.0000)  2 Au 2.45
Au (0.0000, 0.0000, 0.0000)  6 Os 2.45
N (0.5000, 0.5000, 0.5000)  12 Os 3.47

***

(2)
Crystalline OsAu3N at its relaxed geometry, computed with GGA-PBE.

relative energy among the computed polymorphs = 0.0 meV/atom
calculated density = 16.7 g/cm³
crystal system = cubic
raw total energy = -22.26 eV per formula unit

Cell: 4.2903 4.2903 4.2903 Å, 90.00 90.00 90.00°
Last column: nearest neighbours and their distance in Å.
Element x y z (fractional)
Os (0.0000, 0.0000, 0.0000)  12 Au 3.03
Au (0.0000, 0.5000, 0.5000)  2 N 2.15
Au (0.5000, 0.0000, 0.5000)  2 N 2.15
Au (0.5000, 0.5000, 0.0000)  2 N 2.15
N (0.5000, 0.5000, 0.5000)  6 Au 2.15

***

(3)
Crystalline Os2AuN at its relaxed geometry, computed with GGA-PBE.

calculated density = 14.6 g/cm³
crystal system = tetragonal
raw total energy = -29.73 eV per formula unit

Cell: 5.0897 5.0897 10.4069 Å, 90.00 90.00 90.00°
Last column: nearest neighbours and their distance in Å.
Element x y z (fractional)
Os (0.1267, 0.2500, 0.1250)  2 N 1.93
Os (0.2500, 0.6267, 0.3750)  2 N 1.93
Os (0.2500, 0.8733, 0.8750)  2 N 1.93
Os (0.3733, 0.2500, 0.6250)  2 N 1.93
Os (0.6267, 0.7500, 0.6250)  2 N 1.93
Os (0.7500, 0.1267, 0.8750)  2 N 1.93
Os (0.7500, 0.3733, 0.3750)  2 N 1.93
Os (0.8733, 0.7500, 0.1250)  2 N 1.93
Au (0.0000, 0.0000, 0.5000)  4 Os 2.63
Au (0.0000, 0.5000, 0.7500)  4 Os 2.63
Au (0.5000, 0.0000, 0.2500)  4 Os 2.63
Au (0.5000, 0.5000, 0.0000)  4 Os 2.63
N (0.0000, 0.0000, 0.0000)  4 Os 1.93
N (0.0000, 0.5000, 0.2500)  4 Os 1.93
N (0.5000, 0.0000, 0.7500)  4 Os 1.93
N (0.5000, 0.5000, 0.5000)  4 Os 1.93

***

(4)
Crystalline OsAu3N at its relaxed geometry, computed with GGA-PBE.

relative energy among the computed polymorphs = 1152.8 meV/atom
calculated density = 10.6 g/cm³
crystal system = cubic
raw total energy = -16.49 eV per formula unit

Cell: 4.9947 4.9947 4.9947 Å, 90.00 90.00 90.00°
Last column: nearest neighbours and their distance in Å.
Element x y z (fractional)
Os (0.0000, 0.0000, 0.0000)  6 Au 2.50
Au (0.0000, 0.0000, 0.5000)  2 Os 2.50
Au (0.0000, 0.5000, 0.0000)  2 Os 2.50
Au (0.5000, 0.0000, 0.0000)  2 Os 2.50
N (0.5000, 0.5000, 0.5000)  12 Au 3.53

***

(5)
Crystalline Os3AuN at its relaxed geometry, computed with GGA-PBE.

relative energy among the computed polymorphs = 0.0 meV/atom
calculated density = 18.8 g/cm³
crystal system = cubic
raw total energy = -40.97 eV per formula unit

Cell: 4.0992 4.0992 4.0992 Å, 90.00 90.00 90.00°
Last column: nearest neighbours and their distance in Å.
Element x y z (fractional)
Os (0.0000, 0.0000, 0.5000)  2 N 2.05
Os (0.0000, 0.5000, 0.0000)  2 N 2.05
Os (0.5000, 0.0000, 0.0000)  2 N 2.05
Au (0.5000, 0.5000, 0.5000)  12 Os 2.90
N (0.0000, 0.0000, 0.0000)  6 Os 2.05

***

(6)
Crystalline ReOs2AuN at its relaxed geometry, computed with GGA-PBE.

calculated density = 10.8 g/cm³
crystal system = tetragonal
raw total energy = -25.48 eV per formula unit

Cell: 4.8913 4.8913 5.0088 Å, 90.00 90.00 90.00°
Last column: nearest neighbours and their distance in Å.
Element x y z (fractional)
Re (0.0000, 0.0000, 0.0000)  2 Au 2.50
Os (0.0000, 0.5000, 0.5000)  2 Au 2.45
Os (0.5000, 0.0000, 0.5000)  2 Au 2.45
Au (0.0000, 0.0000, 0.5000)  4 Os 2.45, 2 Re 2.50
N (0.5000, 0.5000, 0.0000)  4 Re 3.46, 8 Os 3.50

***

(7)
Crystalline Sr2OsAuN at its relaxed geometry, computed with GGA-PBE.

calculated density = 8.4 g/cm³
crystal system = tetragonal
raw total energy = -28.69 eV per formula unit

Cell: 5.4627 5.4627 3.7968 Å, 90.00 90.00 90.00°
Last column: nearest neighbours and their distance in Å.
Element x y z (fractional)
Sr (0.0000, 0.5000, 0.0000)  2 N 2.73
Sr (0.5000, 0.0000, 0.0000)  2 N 2.73
Os (0.0000, 0.0000, 0.5000)  2 N 1.90
Au (0.5000, 0.5000, 0.5000)  8 Sr 3.33
N (0.0000, 0.0000, 0.0000)  2 Os 1.90

***

(8)
Crystalline TeOsAuN2 at its relaxed geometry, computed with GGA-PBE.

relative energy among the computed polymorphs = 1670.8 meV/atom
calculated density = 7.7 g/cm³
crystal system = tetragonal
raw total energy = -22.92 eV per formula unit

Cell: 3.8887 3.8887 7.7318 Å, 90.00 90.00 90.00°
Last column: nearest neighbours and their distance in Å.
Element x y z (fractional)
Te (0.0000, 0.0000, 0.0000)  4 Os 2.75
Os (0.5000, 0.5000, 0.0000)  4 Te 2.75
Au (0.0000, 0.0000, 0.5000)  4 N 1.94
N (0.0000, 0.5000, 0.5000)  2 Au 1.94
N (0.5000, 0.0000, 0.5000)  2 Au 1.94

***

(9)
Crystalline TeOsAuN2 at its relaxed geometry, computed with GGA-PBE.

relative energy among the computed polymorphs = 0.0 meV/atom
calculated density = 10.3 g/cm³
crystal system = tetragonal
raw total energy = -31.27 eV per formula unit

Cell: 3.8405 3.8405 5.9220 Å, 90.00 90.00 90.00°
Last column: nearest neighbours and their distance in Å.
Element x y z (fractional)
Te (0.0000, 0.0000, 0.0000)  4 Au 2.72, 2 Os 2.96
Os (0.0000, 0.0000, 0.5000)  4 N 1.92
Au (0.5000, 0.5000, 0.0000)  4 Te 2.72
N (0.0000, 0.5000, 0.5000)  2 Os 1.92
N (0.5000, 0.0000, 0.5000)  2 Os 1.92

***

(10)
Crystalline Th8Os3Au3N at its relaxed geometry, computed with GGA-PBE.

calculated density = 12.1 g/cm³
crystal system = monoclinic
raw total energy = -118.55 eV per formula unit

Cell: 8.1552 8.1552 8.6317 Å, 118.13 118.13 60.07°
Last column: nearest neighbours and their distance in Å.
Element x y z (fractional)
Th (0.2253, 0.7544, 0.7054)  1 N 2.67, 2 Os 2.84-2.85
Th (0.2259, 0.2259, 0.7057)  1 N 2.67, 2 Os 2.85
Th (0.2456, 0.7747, 0.2946)  1 N 2.67, 2 Os 2.84-2.85
Th (0.2605, 0.2605, 0.2812)  3 Os 2.84, 3 Au 3.11
Th (0.7395, 0.7395, 0.7188)  3 Os 2.84, 3 Au 3.11
Th (0.7544, 0.2253, 0.7054)  1 N 2.67, 2 Os 2.84-2.85
Th (0.7741, 0.7741, 0.2943)  1 N 2.67, 2 Os 2.85
Th (0.7747, 0.2456, 0.2946)  1 N 2.67, 2 Os 2.84-2.85
Os (0.0000, 0.5000, 0.5000)  6 Th 2.84-2.85
Os (0.5000, 0.0000, 0.5000)  6 Th 2.84-2.85
Os (0.5000, 0.5000, 0.5000)  6 Th 2.84-2.85
Au (0.0000, 0.0000, 0.0000)  6 Th 3.11-3.13
Au (0.0000, 0.5000, 0.0000)  6 Th 3.11-3.13
Au (0.5000, 0.0000, 0.0000)  6 Th 3.11-3.13
N (0.0000, 0.0000, 0.5000)  6 Th 2.67

***

(11)
Crystalline TiOsAu2N at its relaxed geometry, computed with GGA-PBE.

calculated density = 8.9 g/cm³
crystal system = tetragonal
raw total energy = -25.07 eV per formula unit

Cell: 5.1250 5.1250 4.5703 Å, 90.00 90.00 90.00°
Last column: nearest neighbours and their distance in Å.
Element x y z (fractional)
Ti (0.0000, 0.0000, 0.0000)  2 Os 2.29
Os (0.0000, 0.0000, 0.5000)  2 Ti 2.29
Au (0.0000, 0.5000, 0.5000)  2 Os 2.56
Au (0.5000, 0.0000, 0.5000)  2 Os 2.56
N (0.5000, 0.5000, 0.0000)  8 Au 3.43, 4 Ti 3.62

***

(12)
Crystalline TiOsAuN2 at its relaxed geometry, computed with GGA-PBE.

calculated density = 9.3 g/cm³
crystal system = tetragonal
raw total energy = -27.49 eV per formula unit

Cell: 3.8429 3.8429 5.5942 Å, 90.00 90.00 90.00°
Last column: nearest neighbours and their distance in Å.
Element x y z (fractional)
Ti (0.0000, 0.0000, 0.0000)  4 Os 2.72, 2 Au 2.80
Os (0.5000, 0.5000, 0.0000)  4 Ti 2.72
Au (0.0000, 0.0000, 0.5000)  4 N 1.92
N (0.0000, 0.5000, 0.5000)  2 Au 1.92
N (0.5000, 0.0000, 0.5000)  2 Au 1.92

***

raw total energy of number 10 (Th8Os3Au3N)? -118.55 eV per formula unit

***

Please write out number 5 again, unchanged.
Crystalline Os3AuN at its relaxed geometry, computed with GGA-PBE.

relative energy among the computed polymorphs = 0.0 meV/atom
calculated density = 18.8 g/cm³
crystal system = cubic
raw total energy = -40.97 eV per formula unit

Cell: 4.0992 4.0992 4.0992 Å, 90.00 90.00 90.00°
Last column: nearest neighbours and their distance in Å.
Element x y z (fractional)
Os (0.0000, 0.0000, 0.5000)  2 N 2.05
Os (0.0000, 0.5000, 0.0000)  2 N 2.05
Os (0.5000, 0.0000, 0.0000)  2 N 2.05
Au (0.5000, 0.5000, 0.5000)  12 Os 2.90
N (0.0000, 0.0000, 0.0000)  6 Os 2.05

***

Which value of calculated density does entry 3 give? 14.6 g/cm³

***

The lowest raw total energy belongs to which entry? Th8Os3Au3N